A relaxed structure of PuMgAlGa. Source: Alexandria, functional GGA-PBE.

Calculated values
The total energy comes out at -5.87 eV per atom. For the spin magnetization, the calculation gives 5.623 μB/f.u. Its space group is F-43m (216). The formation energy comes out at -0.1974 eV/atom.

Cell and atoms, written as POSCAR:
```
PuMgAlGa
1.0
6.938 0.000 0.000
0.000 6.938 0.000
0.000 0.000 6.938
Pu Mg Al Ga
4 4 4 4
Direct
0.000 0.000 0.000
0.000 0.500 0.500
0.500 0.000 0.500
0.500 0.500 0.000
0.000 0.000 0.500
0.000 0.500 0.000
0.500 0.000 0.000
0.500 0.500 0.500
0.250 0.250 0.750
0.250 0.750 0.250
0.750 0.250 0.250
0.750 0.750 0.750
0.250 0.250 0.250
0.250 0.750 0.750
0.750 0.250 0.750
0.750 0.750 0.250
```